The following is a PBE calculation of a relaxed NaY2CoC crystal, from the Alexandria database.

Cell and atoms, written as POSCAR:
```
NaY2CoC
1.0
-1.8749 4.5902 -1.1891
-4.5011 -1.3208 1.9987
1.0878 1.3018 3.3099
Na Y Co C
1 2 1 1
direct
0.5000 0.5000 0.5000 Na
0.0000 0.5000 0.0000 Y
0.5000 0.0000 0.0000 Y
0.0000 0.0000 0.5000 Co
0.0000 0.0000 0.0000 C
```

Properties
**DOS at the Fermi energy**: 3.93 states/eV/cell
**Electronic total energy**: -30.73 eV/cell
**Space group**: P4/mmm
**ρ**: 4.7 g/cm³
**Energy of formation from the pure elements**: -0.03 eV per atom

***

The following is a PBE calculation of a relaxed NbCo2C crystal, from the Alexandria database.

Cell and atoms, written as POSCAR:
```
NbCo2C
1.0
-4.8006 -0.4546 -2.1312
1.1874 -4.8690 -1.6361
-3.1131 -4.0703 1.3599
C Nb Co
2 2 4
direct
0.5000 0.5000 0.0000 C
0.2500 0.7500 0.5000 C
0.7500 0.2500 0.5000 Nb
0.0000 0.0000 0.0000 Nb
0.5153 0.1250 0.2500 Co
0.8750 0.7653 0.7500 Co
0.3750 0.4847 0.7500 Co
0.2347 0.6250 0.2500 Co
```

Properties
**DOS at the Fermi energy**: 6.66 states/eV/cell
**Electronic total energy**: -63.31 eV/cell
**Space group**: I-42d
**ρ**: 7.1 g/cm³
**Energy of formation from the pure elements**: 0.46 eV per atom

***

The following is a PBE calculation of a relaxed Nb3Co3C crystal, from the Alexandria database.

Cell and atoms, written as POSCAR:
```
Nb3Co3C
1.0
8.0279 0.0000 0.0000
4.0139 6.9523 0.0000
4.0139 2.3174 6.5547
Nb Co C
12 12 4
direct
0.5501 0.9499 0.9499 Nb
0.3001 0.3001 0.6999 Nb
0.9499 0.5501 0.5501 Nb
0.5501 0.9499 0.5501 Nb
0.3001 0.6999 0.3001 Nb
0.6999 0.3001 0.6999 Nb
0.9499 0.9499 0.5501 Nb
0.9499 0.5501 0.9499 Nb
0.6999 0.6999 0.3001 Nb
0.6999 0.3001 0.3001 Nb
0.5501 0.5501 0.9499 Nb
0.3001 0.6999 0.6999 Nb
0.3271 0.3271 0.3271 Co
0.9229 0.9229 0.9229 Co
0.2312 0.9229 0.9229 Co
0.1250 0.1250 0.1250 Co
0.9229 0.9229 0.2312 Co
0.0188 0.3271 0.3271 Co
0.1250 0.6250 0.1250 Co
0.6250 0.1250 0.1250 Co
0.3271 0.0188 0.3271 Co
0.9229 0.2312 0.9229 Co
0.1250 0.1250 0.6250 Co
0.3271 0.3271 0.0188 Co
0.6250 0.6250 0.6250 C
0.6250 0.1250 0.6250 C
0.1250 0.6250 0.6250 C
0.6250 0.6250 0.1250 C
```

Properties
**DOS at the Fermi energy**: 21.49 states/eV/cell
**Electronic total energy**: -250.76 eV/cell
**Space group**: Fd-3m
**ρ**: 8.5 g/cm³
**Energy of formation from the pure elements**: -0.28 eV per atom